1.
Entry from the Alexandria database: an optimized crystal structure of K2CaCu (PBE-GGA).

abc: 20.9088 3.8650 4.5645
angles: 90.00 102.47 90.00
Closest atoms and distances in Å follow each position.
Atoms (fractional coordinates):
K: 0.1564 0.0000 0.1548  2 Cu 3.73, 2 K 3.87, 2 Ca 3.92-3.93
K: 0.3436 0.5000 0.8452  2 Cu 3.73, 2 K 3.87, 2 Ca 3.92-3.93
K: 0.6564 0.5000 0.1548  2 Cu 3.73, 2 K 3.87, 2 Ca 3.92-3.93
K: 0.8436 0.0000 0.8452  2 Cu 3.73, 2 K 3.87, 2 Ca 3.92-3.93
Ca: 0.0000 0.0000 0.5000  4 Cu 2.99
Ca: 0.5000 0.5000 0.5000  4 Cu 2.99
Cu: 0.0000 0.5000 0.0000  4 Ca 2.99
Cu: 0.5000 0.0000 0.0000  4 Ca 2.99

Energy above the lowest structure with this stoichiometry = 22 meV per atom
Electronic total energy = -15.28 eV for the cell shown
Density = 1.68 g/cm³
Total magnetization = 0.00 μB per formula unit
Calculated formation energy = 0.7 eV per formula unit
V = 360 Å³/cell


2.
Entry from the Alexandria database: an optimized crystal structure of KCaCu2 (PBE-GGA).

abc: 4.3022 4.2384 12.5264
angles: 90.00 90.00 90.00
Closest atoms and distances in Å follow each position.
Atoms (fractional coordinates):
K: 0.0000 0.0000 0.0000  7 Cu 3.37-3.59
K: 0.0000 0.5000 0.5000  7 Cu 3.37-3.59
Ca: 0.5000 0.0000 0.7247  6 Cu 2.89-3.12
Ca: 0.5000 0.5000 0.2247  6 Cu 2.89-3.12
Cu: 0.0000 0.0000 0.2868  2 Cu 2.46
Cu: 0.0000 0.5000 0.7868  2 Cu 2.46
Cu: 0.5000 0.0000 0.3814  2 Cu 2.46
Cu: 0.5000 0.5000 0.8814  2 Cu 2.46

Energy above the lowest structure with this stoichiometry = 2 meV per atom
Electronic total energy = -21.39 eV for the cell shown
Density = 3.00 g/cm³
Total magnetization = 0.00 μB per formula unit
Calculated formation energy = 0.6 eV per formula unit
V = 228 Å³/cell


3.
Entry from the Alexandria database: an optimized crystal structure of K2CaCu (PBE-GGA).

abc: 10.0845 4.1056 9.4493
angles: 90.00 106.48 90.00
Closest atoms and distances in Å follow each position.
Atoms (fractional coordinates):
K: 0.0000 0.0000 0.0000  2 Cu 3.51, 1 Ca 3.89
K: 0.1632 0.0000 0.6127  2 Cu 3.51, 1 Ca 3.89
K: 0.5000 0.5000 0.0000  2 Cu 3.51, 1 Ca 3.89
K: 0.6632 0.5000 0.6127  2 Cu 3.51, 1 Ca 3.89
Ca: 0.3112 0.5000 0.3061  3 Cu 2.93-2.95
Ca: 0.8112 0.0000 0.3061  3 Cu 2.93-2.95
Cu: 0.0185 0.5000 0.3069  3 Ca 2.93-2.95
Cu: 0.5185 0.0000 0.3069  3 Ca 2.93-2.95

Energy above the lowest structure with this stoichiometry = 67 meV per atom
Electronic total energy = -14.92 eV for the cell shown
Density = 1.61 g/cm³
Total magnetization = 0.00 μB per formula unit
Calculated formation energy = 0.8 eV per formula unit
V = 375 Å³/cell


4.
Entry from the Alexandria database: an optimized crystal structure of KCaCu2 (PBE-GGA).

abc: 7.4395 7.4395 7.4395
angles: 90.00 90.00 90.00
Closest atoms and distances in Å follow each position.
Atoms (fractional coordinates):
K: 0.0000 0.0000 0.0000  8 Cu 3.22
K: 0.0000 0.5000 0.5000  8 Cu 3.22
K: 0.5000 0.0000 0.5000  8 Cu 3.22
K: 0.5000 0.5000 0.0000  8 Cu 3.22
Ca: 0.0000 0.0000 0.5000  8 Cu 3.22
Ca: 0.0000 0.5000 0.0000  8 Cu 3.22
Ca: 0.5000 0.0000 0.0000  8 Cu 3.22
Ca: 0.5000 0.5000 0.5000  8 Cu 3.22
Cu: 0.2500 0.2500 0.2500  4 K 3.22, 4 Ca 3.22
Cu: 0.2500 0.2500 0.7500  4 K 3.22, 4 Ca 3.22
Cu: 0.2500 0.7500 0.2500  4 K 3.22, 4 Ca 3.22
Cu: 0.2500 0.7500 0.7500  4 K 3.22, 4 Ca 3.22
Cu: 0.7500 0.2500 0.2500  4 K 3.22, 4 Ca 3.22
Cu: 0.7500 0.2500 0.7500  4 K 3.22, 4 Ca 3.22
Cu: 0.7500 0.7500 0.2500  4 K 3.22, 4 Ca 3.22
Cu: 0.7500 0.7500 0.7500  4 K 3.22, 4 Ca 3.22

Energy above the lowest structure with this stoichiometry = 159 meV per atom
Electronic total energy = -40.26 eV for the cell shown
Density = 3.33 g/cm³
Total magnetization = 0.00 μB per formula unit
Calculated formation energy = 1.2 eV per formula unit
V = 412 Å³/cell


5.
Entry from the Alexandria database: an optimized crystal structure of K2CaCu (PBE-GGA).

abc: 5.8939 4.3656 8.0422
angles: 90.00 111.43 90.00
Closest atoms and distances in Å follow each position.
Atoms (fractional coordinates):
K: 0.1573 0.0000 0.3147  2 Cu 3.21
K: 0.8427 0.0000 0.6853  2 Cu 3.21
Ca: 0.5000 0.5000 0.0000  2 Cu 2.95
Cu: 0.0000 0.5000 0.0000  2 Ca 2.95, 4 K 3.21

Energy above the lowest structure with this stoichiometry = 140 meV per atom
Electronic total energy = -7.17 eV for the cell shown
Density = 1.57 g/cm³
Total magnetization = 0.00 μB per formula unit
Calculated formation energy = 1.1 eV per formula unit
V = 193 Å³/cell


6.
Entry from the Alexandria database: an optimized crystal structure of K2CaCu (PBE-GGA).

abc: 3.9242 3.9242 11.0055
angles: 90.00 90.00 90.00
Closest atoms and distances in Å follow each position.
Atoms (fractional coordinates):
K: 0.0000 0.0000 0.0000  1 Ca 3.68, 4 Cu 3.68, 4 K 3.92
K: 0.5000 0.5000 0.3591  4 K 3.92, 4 Ca 4.37
Ca: 0.0000 0.0000 0.6659  4 Cu 3.05
Cu: 0.5000 0.5000 0.7807  4 Ca 3.05

Energy above the lowest structure with this stoichiometry = 6 meV per atom
Electronic total energy = -7.71 eV for the cell shown
Density = 1.78 g/cm³
Total magnetization = 0.00 μB per formula unit
Calculated formation energy = 0.6 eV per formula unit
V = 169 Å³/cell


7.
Entry from the Alexandria database: an optimized crystal structure of K2CaCu (PBE-GGA).

abc: 4.2464 4.0753 10.5914
angles: 90.00 101.48 90.00
Closest atoms and distances in Å follow each position.
Atoms (fractional coordinates):
K: 0.0000 0.0000 0.0000  2 Cu 3.54
K: 0.3133 0.5000 0.6271  1 Cu 3.62
Ca: 0.6624 0.0000 0.3304  4 Cu 2.99
Cu: 0.1361 0.5000 0.2787  4 Ca 2.99

Energy above the lowest structure with this stoichiometry = 0 meV per atom
Electronic total energy = -7.73 eV for the cell shown
Density = 1.68 g/cm³
Total magnetization = 0.00 μB per formula unit
Calculated formation energy = 0.6 eV per formula unit
V = 180 Å³/cell


8.
Entry from the Alexandria database: an optimized crystal structure of K4CaCu (PBE-GGA).

abc: 7.7352 7.7352 7.7352
angles: 60.00 60.00 60.00
Closest atoms and distances in Å follow each position.
Atoms (fractional coordinates):
K: 0.3757 0.3757 0.3757  6 K 3.85-3.89
K: 0.3757 0.3757 0.8728  6 K 3.85-3.89
K: 0.3757 0.8728 0.3757  6 K 3.85-3.89
K: 0.8728 0.3757 0.3757  6 K 3.85-3.89
Ca: 0.0000 0.0000 0.0000  12 K 4.54, 4 Cu 4.74
Cu: 0.7500 0.7500 0.7500  12 K 4.53, 4 Ca 4.74

Electronic total energy = -7.43 eV for the cell shown
Density = 1.32 g/cm³
Total magnetization = 0.00 μB per formula unit
Calculated formation energy = 3.1 eV per formula unit
V = 327 Å³/cell


9.
Entry from the Alexandria database: an optimized crystal structure of KCaCu2 (PBE-GGA).

abc: 3.8484 4.5239 13.7583
angles: 90.00 90.00 90.00
Closest atoms and distances in Å follow each position.
Atoms (fractional coordinates):
K: 0.0000 0.0000 0.0000  4 Cu 3.44, 2 K 3.85
K: 0.5000 0.5000 0.5000  4 Cu 3.44, 2 K 3.85
Ca: 0.0000 0.5000 0.7645  6 Cu 2.96-3.00
Ca: 0.5000 0.0000 0.2645  6 Cu 2.96-3.00
Cu: 0.0000 0.0000 0.6259  2 Cu 2.42
Cu: 0.0000 0.5000 0.2325  2 Cu 2.42
Cu: 0.5000 0.0000 0.7325  2 Cu 2.42
Cu: 0.5000 0.5000 0.1259  2 Cu 2.42

Energy above the lowest structure with this stoichiometry = 40 meV per atom
Electronic total energy = -21.08 eV for the cell shown
Density = 2.86 g/cm³
Total magnetization = 0.00 μB per formula unit
Calculated formation energy = 0.7 eV per formula unit
V = 240 Å³/cell


10.
Entry from the Alexandria database: an optimized crystal structure of K2CaCu (PBE-GGA).

abc: 5.9598 5.9598 8.5368
angles: 90.00 90.00 90.00
Closest atoms and distances in Å follow each position.
Atoms (fractional coordinates):
K: 0.0000 0.0000 0.0000  4 K 3.67, 4 Ca 3.67
K: 0.0000 0.5000 0.2500  4 K 3.67, 4 Cu 3.67
K: 0.5000 0.0000 0.7500  4 K 3.67, 4 Cu 3.67
K: 0.5000 0.5000 0.5000  4 K 3.67, 4 Ca 3.67
Ca: 0.0000 0.5000 0.7500  4 K 3.67, 4 Cu 3.67
Ca: 0.5000 0.0000 0.2500  4 K 3.67, 4 Cu 3.67
Cu: 0.0000 0.0000 0.5000  4 K 3.67, 4 Ca 3.67
Cu: 0.5000 0.5000 0.0000  4 K 3.67, 4 Ca 3.67

Energy above the lowest structure with this stoichiometry = 253 meV per atom
Electronic total energy = -13.43 eV for the cell shown
Density = 1.99 g/cm³
Total magnetization = 0.00 μB per formula unit
Calculated formation energy = 1.6 eV per formula unit
V = 303 Å³/cell


11.
Entry from the Alexandria database: an optimized crystal structure of KCaCu2 (PBE-GGA).

abc: 3.8252 3.7981 7.5716
angles: 90.00 90.52 90.00
Closest atoms and distances in Å follow each position.
Atoms (fractional coordinates):
K: 0.0000 0.0000 0.0000  8 Cu 3.66-3.70, 2 Ca 3.79, 4 K 3.80-3.83
Ca: 0.0000 0.0000 0.5000  8 Cu 2.98-2.99
Cu: 0.4966 0.5000 0.3303  1 Cu 2.57
Cu: 0.5034 0.5000 0.6697  1 Cu 2.57

Energy above the lowest structure with this stoichiometry = 0 meV per atom
Electronic total energy = -10.70 eV for the cell shown
Density = 3.11 g/cm³
Total magnetization = 0.00 μB per formula unit
Calculated formation energy = 0.6 eV per formula unit
V = 110 Å³/cell


12.
Entry from the Alexandria database: an optimized crystal structure of KCaCu3 (PBE-GGA).

abc: 5.2566 5.2566 5.2566
angles: 90.00 90.00 90.00
Closest atoms and distances in Å follow each position.
Atoms (fractional coordinates):
K: 0.0000 0.0000 0.0000  6 Cu 2.63
Ca: 0.5000 0.5000 0.5000  12 Cu 3.72
Cu: 0.0000 0.0000 0.5000  2 K 2.63
Cu: 0.0000 0.5000 0.0000  2 K 2.63
Cu: 0.5000 0.0000 0.0000  2 K 2.63

Energy above the lowest structure with this stoichiometry = 356 meV per atom
Electronic total energy = -10.13 eV for the cell shown
Density = 3.08 g/cm³
Total magnetization = 0.00 μB per formula unit
Calculated formation energy = 5.3 eV per formula unit
V = 145 Å³/cell